Entry 1:
# TlInCl2F | Alexandria | GGA-PBE | optimized geometry
# Fermi-level density of states   1.15 states/eV/cell
# Uncorrected energy   -17.18 eV per cell
# Calculated volume   27.3 Å³/atom
data_TlInCl2F
_chemical_formula_sum 'Tl1 In1 Cl2 F1'
_cell_length_a 5.524
_cell_length_b 5.524
_cell_length_c 4.472
_cell_angle_alpha 90.00
_cell_angle_beta 90.00
_cell_angle_gamma 90.00
_symmetry_space_group_name_H-M 'P 4/m m m'
_symmetry_Int_Tables_number 123
_symmetry_space_group_name_Hall '-P 4 2'
loop_
_atom_site_label
_atom_site_type_symbol
_atom_site_fract_x
_atom_site_fract_y
_atom_site_fract_z
_atom_site_occupancy
Tl1 Tl 0.000 0.000 0.000 1
In1 In 0.500 0.500 0.500 1
Cl1 Cl 0.000 0.500 0.500 1
F1 F 0.500 0.500 0.000 1

=====

Entry 2:
# TlInClF | Alexandria | GGA-PBE | optimized geometry
# Energy relative to the lowest polymorph listed for this composition   120 meV/atom
# Uncorrected energy   -53.42 eV per cell
# Calculated volume   24.9 Å³/atom
data_TlInClF
_chemical_formula_sum 'Tl4 In4 Cl4 F4'
_cell_length_a 7.355
_cell_length_b 7.355
_cell_length_c 7.355
_cell_angle_alpha 90.00
_cell_angle_beta 90.00
_cell_angle_gamma 90.00
_symmetry_space_group_name_H-M 'F -4 3 m'
_symmetry_Int_Tables_number 216
_symmetry_space_group_name_Hall 'F -4 2 3'
loop_
_atom_site_label
_atom_site_type_symbol
_atom_site_fract_x
_atom_site_fract_y
_atom_site_fract_z
_atom_site_occupancy
Tl1 Tl 0.000 0.000 0.000 1
In1 In 0.000 0.000 0.500 1
Cl1 Cl 0.250 0.250 0.250 1
F1 F 0.250 0.250 0.750 1